Entry from Alexandria via LeMat-Bulk: crystalline Cr3GaN at its relaxed geometry (PBE-GGA).

Computed properties:
Density of states at the Fermi level: 1.3552 states/eV/atom
Total DFT energy (no corrections): -8.311 eV per atom
Mass density: 7.10 g/cm³

abc: 3.8265 3.8265 3.8265
angles: 90.00 90.00 90.00
Fractional positions:
N 0.0000 0.0000 0.0000
Cr 0.5000 0.0000 0.0000
Cr 0.0000 0.5000 0.0000
Cr 0.0000 0.0000 0.5000
Ga 0.5000 0.5000 0.5000